Below is crystalline TlCoTe2 at its relaxed geometry, with properties calculated at the PBE level.

It has space group I-4m2 (No. 119), with a = 4.1283 Å, b = 4.1283 Å, c = 13.1501 Å, α = 90.00°, β = 90.00° and γ = 90.00°. Symmetry generates all atoms from Tl at (0.0000, 0.0000, 0.0000), Co at (0.0000, 0.5000, 0.7500), Te at (0.0000, 0.0000, 0.5000) and Te at (0.0000, 0.5000, 0.2500).

As for the uncorrected formation energy: 0.57 eV per atom.